1.
This record from Alexandria via LeMat-Bulk describes an optimized crystal structure of UNF5. The functional is PBE-GGA.

a = 8.811 Å, b = 7.041 Å, c = 10.831 Å
α = 90.00°, β = 126.36°, γ = 90.00°
Space group P2_1/c (No. 14)
Asymmetric unit:
U (0.112, 0.126, 0.285) x4
N (0.487, 0.052, 0.153) x4
F (0.004, 0.165, 0.063) x4
F (0.146, 0.685, 0.770) x4
F (0.156, 0.058, 0.804) x4
F (0.202, 0.088, 0.502) x4
F (0.382, 0.133, 0.353) x4

Electronic total energy, eV/f.u.: -44.6
Formation energy (no corrections), eV per atom: -2.24


2.
This record from Alexandria via LeMat-Bulk describes an optimized crystal structure of Pm4PrNdTm2. The functional is PBE-GGA.

a = 5.117 Å, b = 5.140 Å, c = 10.204 Å
α = 90.00°, β = 90.09°, γ = 90.00°
Space group P2/m (No. 10)
Asymmetric unit:
Pm (0.000, 0.000, 0.249) x2
Pm (0.500, 0.500, 0.250) x2
Pr (0.500, 0.000, 0.500) x1
Nd (0.000, 0.500, 0.000) x1
Tm (0.000, 0.500, 0.500) x1
Tm (0.500, 0.000, 0.000) x1

Electronic total energy, eV/f.u.: -37.4
ΔH_f (0 K), meV/atom: 17


3.
This record from Alexandria via LeMat-Bulk describes an optimized crystal structure of RbCaErCl6. The functional is PBE-GGA.

a = 7.0998 Å, b = 7.0998 Å, c = 14.3015 Å
α = 90.00°, β = 90.00°, γ = 120.00°
Space group P-31c (No. 163)
Asymmetric unit:
Rb (0.0000, 0.0000, 0.0000) x2
Ca (0.3333, 0.6667, 0.2500) x2
Er (0.3333, 0.6667, 0.7500) x2
Cl (0.0132, 0.3811, 0.6445) x12

Electronic total energy, eV/f.u.: -39.3
Formation energy (no corrections), eV per atom: -2.30


4.
This record from Alexandria via LeMat-Bulk describes an optimized crystal structure of Ba2CoIr2. The functional is PBE-GGA.

a = 6.698 Å, b = 6.698 Å, c = 5.222 Å
α = 90.00°, β = 90.00°, γ = 90.00°
Space group P4/mbm (No. 127)
Asymmetric unit:
Ba (0.183, 0.317, 0.000) x4
Co (0.000, 0.000, 0.500) x2
Ir (0.133, 0.633, 0.500) x4

Electronic total energy, eV/f.u.: -27.2
ΔH_f (0 K), meV/atom: 295


5.
This record from Alexandria via LeMat-Bulk describes an optimized crystal structure of ZrZnRe3. The functional is PBE-GGA.

a = 4.519 Å, b = 4.519 Å, c = 4.519 Å
α = 90.00°, β = 90.00°, γ = 90.00°
Space group Pm-3m (No. 221)
Asymmetric unit:
Zr (0.000, 0.000, 0.000) x1
Zn (0.500, 0.500, 0.500) x1
Re (0.000, 0.500, 0.500) x3

Electronic total energy, eV/f.u.: -39.8
E above lowest polymorph, eV/atom: 0.0000
ΔH_f (0 K), meV/atom: 1483


6.
This record from Alexandria via LeMat-Bulk describes an optimized crystal structure of Al4Cr. The functional is PBE-GGA.

a = 5.083 Å, b = 8.027 Å, c = 4.353 Å
α = 90.00°, β = 115.33°, γ = 90.00°
Space group P2/c (No. 13)
Asymmetric unit:
Al (0.190, 0.144, 0.095) x4
Al (0.214, 0.388, 0.606) x4
Cr (0.500, 0.117, 0.750) x2

Electronic total energy, eV/f.u.: -24.4
E above lowest polymorph, eV/atom: 0.1131
ΔH_f (0 K), meV/atom: 37


Question: Number 1 is which compound?
Answer: UNF5


Question: The lowest electronic total energy belongs to which entry?
Answer: UNF5


Question: What is the electronic total energy in the third record?
Answer: -39.3 eV/f.u.